K2RbInPb (GGA-PBE, optimized geometry); energy of formation = 23 meV per atom; energy above the most stable polymorph in this dataset = 0.000 eV per atom; N(E_F) = 0.6601 states/eV per atom
1.0
6.928 0.000 0.000
0.000 6.928 0.000
0.000 0.000 5.950
K Rb In Pb
2 1 1 1
Direct
0.000 0.500 0.000 K
0.500 0.000 0.000 K
0.000 0.000 0.500 Rb
0.500 0.500 0.500 In
0.500 0.500 0.000 Pb

=====

K4Rb2InPb2 (GGA-PBE, optimized geometry); energy of formation = -85 meV per atom; N(E_F) = 0.4447 states/eV per atom
1.0
8.009 -4.410 0.000
8.009 4.410 0.000
-1.822 0.000 6.165
K Rb In Pb
4 2 1 2
Direct
0.090 0.648 0.823 K
0.352 0.910 0.177 K
0.648 0.090 0.823 K
0.910 0.352 0.177 K
0.360 0.360 0.312 Rb
0.640 0.640 0.688 Rb
0.000 0.000 0.500 In
0.182 0.182 0.718 Pb
0.818 0.818 0.282 Pb

=====

K2Rb4InPb2 (GGA-PBE, optimized geometry); energy of formation = -56 meV per atom; N(E_F) = 0.4523 states/eV per atom
1.0
8.266 -4.258 0.000
8.266 4.258 0.000
-2.309 0.000 6.643
K Rb In Pb
2 4 1 2
Direct
0.135 0.135 0.242 K
0.865 0.865 0.758 K
0.138 0.599 0.282 Rb
0.401 0.862 0.718 Rb
0.599 0.138 0.282 Rb
0.862 0.401 0.718 Rb
0.500 0.500 0.000 In
0.326 0.326 0.743 Pb
0.674 0.674 0.257 Pb

=====

K3In2Sb4Pb2 (GGA-PBE, optimized geometry); uncorrected formation energy = -234 kJ/mol of formula units; N(E_F) = 0.3361 states/eV per atom
1.0
5.084 0.000 0.000
-2.542 4.403 0.000
0.000 0.000 17.834
K In Sb Pb
3 2 4 2
Direct
0.000 0.000 0.000 K
0.000 0.000 0.275 K
0.000 0.000 0.725 K
0.333 0.667 0.178 In
0.667 0.333 0.822 In
0.333 0.667 0.369 Sb
0.333 0.667 0.867 Sb
0.667 0.333 0.133 Sb
0.667 0.333 0.631 Sb
0.333 0.667 0.563 Pb
0.667 0.333 0.437 Pb

=====

KInPb2Se4 (GGA-PBE, optimized geometry); uncorrected formation energy = -460 kJ/mol of formula units; N(E_F) = 0.4113 states/eV per atom
1.0
-4.330 4.401 6.090
4.330 -4.401 6.090
4.330 4.401 -6.090
K In Pb Se
2 2 4 8
Direct
0.500 0.000 0.000 K
0.500 0.500 0.500 K
0.000 0.000 0.000 In
0.500 0.000 0.500 In
0.000 0.000 0.500 Pb
0.000 0.500 0.000 Pb
0.000 0.500 0.500 Pb
0.500 0.500 0.000 Pb
0.218 0.227 0.991 Se
0.247 0.237 0.491 Se
0.247 0.756 0.009 Se
0.265 0.773 0.491 Se
0.735 0.227 0.509 Se
0.753 0.244 0.991 Se
0.753 0.763 0.509 Se
0.782 0.773 0.009 Se

=====

KInPbSe3 (GGA-PBE, optimized geometry); uncorrected formation energy = -417 kJ/mol of formula units
1.0
9.535 0.000 0.000
0.000 4.356 0.000
-2.485 0.000 11.036
K In Pb Se
2 2 2 6
Direct
0.173 0.250 0.157 K
0.827 0.750 0.843 K
0.082 0.250 0.624 In
0.918 0.750 0.376 In
0.366 0.750 0.874 Pb
0.634 0.250 0.126 Pb
0.098 0.250 0.848 Se
0.183 0.750 0.525 Se
0.418 0.750 0.129 Se
0.582 0.250 0.871 Se
0.817 0.250 0.475 Se
0.902 0.750 0.152 Se

=====

KInPbSe2 (GGA-PBE, optimized geometry); uncorrected formation energy = 37 kJ/mol of formula units; N(E_F) = 0.2590 states/eV per atom
1.0
5.730 0.000 0.000
0.000 5.730 0.000
0.000 0.000 5.905
K In Pb Se
1 1 1 2
Direct
0.000 0.000 0.000 K
0.500 0.500 0.000 In
0.000 0.000 0.500 Pb
0.000 0.500 0.500 Se
0.500 0.000 0.500 Se

=====

KInSnPb (GGA-PBE, optimized geometry); energy of formation = -41 meV per atom; N(E_F) = 0.3260 states/eV per atom
1.0
0.000 3.969 3.969
3.969 0.000 3.969
3.969 3.969 0.000
K In Sn Pb
1 1 1 1
Direct
0.000 0.000 0.000 K
0.750 0.750 0.750 In
0.500 0.500 0.500 Sn
0.250 0.250 0.250 Pb

=====

K2In3Sn4Pb (GGA-PBE, optimized geometry); energy of formation = -138 meV per atom; N(E_F) = 0.3013 states/eV per atom
1.0
5.311 0.000 0.000
0.000 5.311 0.000
0.000 0.000 11.780
K In Sn Pb
2 3 4 1
Direct
0.000 0.500 0.246 K
0.500 0.000 0.754 K
0.000 0.500 0.875 In
0.500 0.000 0.125 In
0.500 0.500 0.500 In
0.000 0.000 0.000 Sn
0.000 0.500 0.629 Sn
0.500 0.000 0.371 Sn
0.500 0.500 0.000 Sn
0.000 0.000 0.500 Pb

=====

K2InSnPb6 (GGA-PBE, optimized geometry); energy of formation = 77 meV per atom; N(E_F) = 0.6022 states/eV per atom
1.0
3.748 2.164 16.111
-3.748 2.164 16.111
0.000 -4.328 16.111
K In Sn Pb
4 2 2 12
Direct
0.124 0.124 0.124 K
0.311 0.311 0.311 K
0.689 0.689 0.689 K
0.876 0.876 0.876 K
0.000 0.000 0.000 In
0.500 0.500 0.500 In
0.425 0.425 0.425 Sn
0.575 0.575 0.575 Sn
0.081 0.654 0.654 Pb
0.197 0.197 0.760 Pb
0.197 0.760 0.197 Pb
0.240 0.803 0.803 Pb
0.346 0.346 0.919 Pb
0.346 0.919 0.346 Pb
0.654 0.081 0.654 Pb
0.654 0.654 0.081 Pb
0.760 0.197 0.197 Pb
0.803 0.240 0.803 Pb
0.803 0.803 0.240 Pb
0.919 0.346 0.346 Pb

=====

K2InSn4Pb3 (GGA-PBE, optimized geometry); energy of formation = -92 meV per atom; N(E_F) = 0.5110 states/eV per atom
1.0
5.050 0.000 0.000
0.000 5.050 0.000
0.000 0.000 13.910
K In Sn Pb
2 1 4 3
Direct
0.000 0.500 0.242 K
0.500 0.000 0.758 K
0.500 0.500 0.000 In
0.000 0.000 0.500 Sn
0.000 0.500 0.870 Sn
0.500 0.000 0.130 Sn
0.500 0.500 0.500 Sn
0.000 0.000 0.000 Pb
0.000 0.500 0.637 Pb
0.500 0.000 0.363 Pb

=====

KInSn2Pb (GGA-PBE, optimized geometry); energy of formation = -121 meV per atom; N(E_F) = 0.3306 states/eV per atom
1.0
-2.717 2.717 5.835
2.717 -2.717 5.835
2.717 2.717 -5.835
K In Sn Pb
1 1 2 1
Direct
0.000 0.000 0.000 K
0.750 0.250 0.500 In
0.374 0.374 0.000 Sn
0.626 0.626 0.000 Sn
0.250 0.750 0.500 Pb

=====

Number 1: electronic total energy -1.90 eV per atom, mass density 2.8 Mg/m³. Number 2: electronic total energy -1.92 eV per atom, mass density 3.3 Mg/m³. Number 3: electronic total energy -1.86 eV per atom, mass density 3.4 Mg/m³. Number 4: electronic total energy -3.19 eV per atom, mass density 5.2 Mg/m³. Number 5: electronic total energy -3.74 eV per atom, mass density 6.3 Mg/m³. Number 6: electronic total energy -3.72 eV per atom, mass density 4.3 Mg/m³. Number 7: electronic total energy -2.83 eV per atom, mass density 4.4 Mg/m³. Number 8: electronic total energy -2.93 eV per atom, mass density 6.4 Mg/m³. Number 9: electronic total energy -3.15 eV per atom, mass density 5.5 Mg/m³. Number 10: electronic total energy -3.04 eV per atom, mass density 6.6 Mg/m³. Number 11: electronic total energy -3.30 eV per atom, mass density 6.0 Mg/m³. Number 12: electronic total energy -3.23 eV per atom, mass density 5.8 Mg/m³.